# 1
Material: Zr2MnH
Method: DFT, GGA-PBE
State: relaxed

a b c (Å): 4.402 4.402 4.402
angles (deg): 60.00 60.00 60.00
Fractional positions:
H 0.000 0.000 0.000
Mn 0.500 0.500 0.500
Zr 0.750 0.750 0.750
Zr 0.250 0.250 0.250

## Properties
DOS at the Fermi energy: 4.730 states/eV/cell
total magnetic moment: 0.00 μB/f.u.
calculated density: 6.56 g/cm³
SG: Fm-3m


# 2
Material: Zr2MnH2
Method: DFT, GGA-PBE
State: relaxed

a b c (Å): 3.212 3.212 6.330
angles (deg): 75.31 75.31 90.00
Fractional positions:
Zr 0.367 0.367 0.266
Zr 0.633 0.633 0.734
Mn 0.000 0.000 0.000
H 0.750 0.250 0.500
H 0.250 0.750 0.500

## Properties
DOS at the Fermi energy: 2.309 states/eV/cell
total magnetic moment: 0.00 μB/f.u.
calculated density: 6.52 g/cm³
SG: I4/mmm


The calculation returns the following E above lowest polymorph values, one per record and in order: 253; 0 meV per atom.